The following is a DFT calculation (PBE-GGA) of Pm2TlBr2 after structural relaxation.

abc: 4.1509 4.1509 34.7357
angles: 90.00 90.00 120.00
Space group R-3m (No. 166, hexagonal axes)
One atom of each set of equivalent atoms:
Pm1 0.0000 0.0000 0.1063 (multiplicity 6)
Tl1 0.0000 0.0000 0.5000 (multiplicity 3)
Br1 0.0000 0.0000 0.2790 (multiplicity 6)

The following is a DFT calculation (PBE-GGA) of PmTl3Br8 after structural relaxation.

abc: 7.430 7.430 14.861
angles: 90.00 90.00 90.00
Space group I4/mmm (No. 139)
One atom of each set of equivalent atoms:
Pm1 0.000 0.000 0.000 (multiplicity 2)
Tl1 0.000 0.000 0.500 (multiplicity 2)
Tl2 0.000 0.500 0.250 (multiplicity 4)
Br1 0.238 0.238 0.119 (multiplicity 16)

Calculated values (kcal/mol of atoms) of energy relative to the elements, uncorrected for the records, taken in order: -26.87; -21.73.
Calculated values (eV per atom) of raw total energy for the records, taken in order: -4.208; -3.045.